No. 1
PmEuNiAu | PBE | relaxed

Results
Space group = No. 216
Electronic total energy = -6.45 eV/atom

Lattice parameters (Å, degrees): 5.107 5.107 5.107 60.00 60.00 60.00
Positions (direct):
Pm1 0.000 0.000 0.000
Eu1 0.500 0.500 0.500
Ni1 0.250 0.250 0.250
Au1 0.750 0.750 0.750


No. 2
SmEuNiAu | PBE | relaxed

Results
Space group = No. 216
Electronic total energy = -6.44 eV/atom

Lattice parameters (Å, degrees): 5.092 5.092 5.092 60.00 60.00 60.00
Positions (direct):
Sm1 0.000 0.000 0.000
Eu1 0.500 0.500 0.500
Ni1 0.750 0.750 0.750
Au1 0.250 0.250 0.250


No. 3
SrEuNiAu | PBE | relaxed

Results
Space group = No. 216
Electronic total energy = -5.57 eV/atom

Lattice parameters (Å, degrees): 5.224 5.224 5.224 60.00 60.00 60.00
Positions (direct):
Sr1 0.000 0.000 0.000
Eu1 0.500 0.500 0.500
Ni1 0.250 0.250 0.250
Au1 0.750 0.750 0.750


No. 4
TbEuNiAu | PBE | relaxed

Results
Space group = No. 216
Electronic total energy = -6.43 eV/atom

Lattice parameters (Å, degrees): 5.048 5.048 5.048 60.00 60.00 60.00
Positions (direct):
Tb1 0.000 0.000 0.000
Eu1 0.500 0.500 0.500
Ni1 0.250 0.250 0.250
Au1 0.750 0.750 0.750


no.,calculated volume (A^3/atom),formation energy (eV/atom)
1,23.542,-0.43
2,23.341,-0.43
3,25.199,-0.31
4,22.741,-0.44